Na3CdSn12: optimized geometry, PBE-GGA.

Values from the calculation:
Raw total energy = -53.9 eV per cell
Formation energy from the elements = -0.06 eV per atom

CIF file:
```
data_Na3CdSn12
_chemical_formula_sum 'Na3 Cd1 Sn12'
_cell_length_a 4.658
_cell_length_b 4.658
_cell_length_c 19.723
_cell_angle_alpha 90.00
_cell_angle_beta 90.00
_cell_angle_gamma 90.00
_space_group_name_H-M_alt 'P 1'
_space_group_IT_number 1
loop_
_space_group_symop_operation_xyz
'x,y,z'
loop_
_atom_site_label
_atom_site_fract_x
_atom_site_fract_y
_atom_site_fract_z
_atom_site_occupancy
Sn1 0.000 0.500 0.376 1
Sn2 0.500 0.500 0.000 1
Sn3 0.500 0.000 0.624 1
Sn4 0.000 0.500 0.624 1
Na1 0.000 0.000 0.749 1
Sn5 0.000 0.500 0.874 1
Na2 0.000 0.000 0.500 1
Sn6 0.500 0.500 0.500 1
Sn7 0.000 0.500 0.126 1
Sn8 0.500 0.500 0.252 1
Sn9 0.500 0.000 0.376 1
Sn10 0.500 0.500 0.748 1
Sn11 0.500 0.000 0.874 1
Sn12 0.500 0.000 0.126 1
Cd1 0.000 0.000 0.000 1
Na3 0.000 0.000 0.251 1
```

Ac4Tl2Cd3: optimized geometry, PBE-GGA.

Values from the calculation:
Raw total energy = -26.3 eV per cell
Formation energy from the elements = -0.26 eV per atom

CIF file:
```
data_Ac4Tl2Cd3
_chemical_formula_sum 'Ac4 Tl2 Cd3'
_cell_length_a 5.439
_cell_length_b 5.440
_cell_length_c 11.942
_cell_angle_alpha 90.02
_cell_angle_beta 90.00
_cell_angle_gamma 60.01
_space_group_name_H-M_alt 'P 1'
_space_group_IT_number 1
loop_
_space_group_symop_operation_xyz
'x,y,z'
loop_
_atom_site_label
_atom_site_fract_x
_atom_site_fract_y
_atom_site_fract_z
_atom_site_occupancy
Ac1 0.000 0.000 0.656 1
Cd1 0.333 0.333 0.502 1
Tl1 0.667 0.667 0.215 1
Ac2 0.000 0.000 0.344 1
Ac3 0.667 0.667 0.890 1
Ac4 0.333 0.333 0.110 1
Cd2 0.000 0.000 0.000 1
Cd3 0.667 0.667 0.498 1
Tl2 0.333 0.333 0.785 1
```

CaSc2N: optimized geometry, PBE-GGA.

Values from the calculation:
Raw total energy = -22.9 eV per cell

CIF file:
```
data_CaSc2N
_chemical_formula_sum 'Ca1 Sc2 N1'
_cell_length_a 9.828
_cell_length_b 9.828
_cell_length_c 9.828
_cell_angle_alpha 22.05
_cell_angle_beta 22.05
_cell_angle_gamma 22.05
_space_group_name_H-M_alt 'P 1'
_space_group_IT_number 1
loop_
_space_group_symop_operation_xyz
'x,y,z'
loop_
_atom_site_label
_atom_site_fract_x
_atom_site_fract_y
_atom_site_fract_z
_atom_site_occupancy
N1 0.000 0.000 0.000 1
Sc1 0.064 0.064 0.064 1
Sc2 0.936 0.936 0.936 1
Ca1 0.500 0.500 0.500 1
```

CrMoBr2: optimized geometry, PBE-GGA.

Values from the calculation:
Raw total energy = -21.4 eV per cell

CIF file:
```
data_CrMoBr2
_chemical_formula_sum 'Cr1 Mo1 Br2'
_cell_length_a 9.418
_cell_length_b 9.418
_cell_length_c 9.418
_cell_angle_alpha 20.16
_cell_angle_beta 20.16
_cell_angle_gamma 20.16
_space_group_name_H-M_alt 'P 1'
_space_group_IT_number 1
loop_
_space_group_symop_operation_xyz
'x,y,z'
loop_
_atom_site_label
_atom_site_fract_x
_atom_site_fract_y
_atom_site_fract_z
_atom_site_occupancy
Cr1 0.000 0.000 0.000 1
Mo1 0.500 0.500 0.500 1
Br1 0.100 0.100 0.100 1
Br2 0.900 0.900 0.900 1
```

FePAu2: optimized geometry, PBE-GGA.

Values from the calculation:
Raw total energy = -20.2 eV per cell
Formation energy from the elements = 0.05 eV per atom

CIF file:
```
data_FePAu2
_chemical_formula_sum 'Fe1 P1 Au2'
_cell_length_a 6.838
_cell_length_b 6.838
_cell_length_c 3.522
_cell_angle_alpha 80.78
_cell_angle_beta 80.78
_cell_angle_gamma 23.29
_space_group_name_H-M_alt 'P 1'
_space_group_IT_number 1
loop_
_space_group_symop_operation_xyz
'x,y,z'
loop_
_atom_site_label
_atom_site_fract_x
_atom_site_fract_y
_atom_site_fract_z
_atom_site_occupancy
Au1 0.428 0.428 0.541 1
Au2 0.072 0.072 0.959 1
Fe1 0.750 0.750 0.750 1
P1 0.250 0.250 0.250 1
```

TaTc3Ni: optimized geometry, PBE-GGA.

Values from the calculation:
Raw total energy = -38.6 eV per cell
Formation energy from the elements = 2.02 eV per atom

CIF file:
```
data_TaTc3Ni
_chemical_formula_sum 'Ta1 Tc3 Ni1'
_cell_length_a 4.678
_cell_length_b 4.678
_cell_length_c 4.678
_cell_angle_alpha 90.00
_cell_angle_beta 90.00
_cell_angle_gamma 90.00
_space_group_name_H-M_alt 'P 1'
_space_group_IT_number 1
loop_
_space_group_symop_operation_xyz
'x,y,z'
loop_
_atom_site_label
_atom_site_fract_x
_atom_site_fract_y
_atom_site_fract_z
_atom_site_occupancy
Ni1 0.500 0.500 0.500 1
Tc1 0.000 0.000 0.500 1
Tc2 0.000 0.500 0.000 1
Ta1 0.000 0.000 0.000 1
Tc3 0.500 0.000 0.000 1
```

La6HgSe2I3: optimized geometry, PBE-GGA.

Values from the calculation:
Raw total energy = -56.6 eV per cell

CIF file:
```
data_La6HgSe2I3
_chemical_formula_sum 'La6 Hg1 Se2 I3'
_cell_length_a 7.540
_cell_length_b 7.540
_cell_length_c 8.361
_cell_angle_alpha 98.61
_cell_angle_beta 98.61
_cell_angle_gamma 119.99
_space_group_name_H-M_alt 'P 1'
_space_group_IT_number 1
loop_
_space_group_symop_operation_xyz
'x,y,z'
loop_
_atom_site_label
_atom_site_fract_x
_atom_site_fract_y
_atom_site_fract_z
_atom_site_occupancy
La1 0.582 0.929 0.788 1
Se1 0.332 0.668 0.000 1
La2 0.929 0.582 0.788 1
Se2 0.668 0.332 0.000 1
I1 0.161 0.839 0.500 1
La3 0.418 0.071 0.212 1
La4 0.071 0.418 0.212 1
I2 0.839 0.161 0.500 1
Hg1 0.000 0.000 0.000 1
La5 0.278 0.278 0.791 1
I3 0.500 0.500 0.500 1
La6 0.722 0.722 0.209 1
```

YNiRu: optimized geometry, PBE-GGA.

Values from the calculation:
Raw total energy = -19.2 eV per cell
Formation energy from the elements = 0.77 eV per atom

CIF file:
```
data_YNiRu
_chemical_formula_sum 'Y1 Ni1 Ru1'
_cell_length_a 4.400
_cell_length_b 4.400
_cell_length_c 4.400
_cell_angle_alpha 60.00
_cell_angle_beta 60.00
_cell_angle_gamma 60.00
_space_group_name_H-M_alt 'P 1'
_space_group_IT_number 1
loop_
_space_group_symop_operation_xyz
'x,y,z'
loop_
_atom_site_label
_atom_site_fract_x
_atom_site_fract_y
_atom_site_fract_z
_atom_site_occupancy
Ni1 0.000 0.000 0.000 1
Ru1 0.500 0.500 0.500 1
Y1 0.250 0.250 0.250 1
```